# 1
Cd2TcPb PBE-GGA relaxed; calculated total energy = -3.5280 eV/atom; calculated formation energy = 448 meV/atom
1.0
10.4812 0.0319 0.0187
9.9991 3.1422 0.0187
9.9991 1.5497 2.7335
Cd Tc Pb
2 1 1
direct
0.0113 0.0113 0.0113
0.4887 0.4887 0.4887
0.7500 0.7500 0.7500
0.2500 0.2500 0.2500


# 2
Cd2TcPb PBE-GGA relaxed; calculated total energy = -3.5532 eV/atom; calculated formation energy = 423 meV/atom
1.0
-1.0226 2.2464 -5.1366
-4.7896 -1.4121 -2.7464
1.5406 1.8000 5.1830
Tc Cd Pb
1 2 1
direct
0.7500 0.2500 0.5000
0.5000 0.5000 0.0000
0.0000 0.0000 0.0000
0.2500 0.7500 0.5000


# 3
Cd2TcPb PBE-GGA relaxed; calculated total energy = -3.4610 eV/atom; calculated formation energy = 515 meV/atom
1.0
-1.4808 4.0566 2.7147
1.0259 -1.3288 2.5453
5.4727 1.5750 0.6317
Cd Tc Pb
2 1 1
direct
0.0000 0.5902 0.5229
0.0000 0.9098 0.9771
0.5000 0.7500 0.7500
0.5000 0.2500 0.2500


# 4
Cd2TcPb PBE-GGA relaxed; calculated total energy = -3.5456 eV/atom; calculated formation energy = 431 meV/atom
1.0
-4.0564 3.4609 -1.3098
-5.4475 0.6860 -0.0513
-1.9337 2.8481 4.1425
Tc Cd Pb
1 2 1
direct
0.2542 0.2542 0.3517
0.7443 0.7443 0.7975
0.9766 0.9766 0.9496
0.5250 0.5250 0.4012


Which formula does entry 4 have?
Cd2TcPb